The following is a PBE-GGA calculation of a geometry-optimized Na4GaCu2Ge structure, from OQMD via LeMat-Bulk.

symmetry	P-4m2
final energy	-2.43	eV/atom

Lattice parameters (Å, degrees): 4.7224 4.7224 6.6678 90.00 90.00 90.00
Last column: nearest neighbours and their distance in Å.
Sites, in units of the cell vectors:
Cu 0.5000 0.0000 0.2442  2 Ge 2.87, 4 Na 2.87-2.91, 2 Ga 2.91
Cu 0.0000 0.5000 0.7558  2 Ge 2.87, 4 Na 2.87-2.91, 2 Ga 2.91
Ga 0.0000 0.0000 0.5000  4 Na 2.90, 4 Cu 2.91
Ge 0.5000 0.5000 0.0000  4 Cu 2.87, 4 Na 2.89
Na 0.0000 0.0000 0.0000  4 Cu 2.87, 4 Na 2.89
Na 0.0000 0.5000 0.2487  2 Ge 2.89, 4 Na 2.89-2.90, 2 Ga 2.90
Na 0.5000 0.5000 0.5000  4 Na 2.90, 4 Cu 2.91
Na 0.5000 0.0000 0.7513  4 Na 2.89-2.90, 2 Ge 2.89, 2 Ga 2.90